The following is a GGA-PBE calculation of an optimized crystal structure of Tm5Ga2Tc, from the Alexandria database.

Crystal system: orthorhombic
E_tot, eV/atom: -5.203
Volume, Å³ per atom: 23.49

Unit cell a=4.800 b=6.442 c=12.155 alpha=90.00 beta=90.00 gamma=90.00
Element x y z (fractional)
Tm1 0.500 0.329 0.098
Tm2 0.500 0.671 0.902
Tm3 0.000 0.000 0.000
Tm4 0.000 0.627 0.218
Tm5 0.000 0.873 0.718
Tm6 0.000 0.127 0.282
Tm7 0.000 0.373 0.782
Tm8 0.500 0.829 0.402
Tm9 0.000 0.500 0.500
Tm10 0.500 0.171 0.598
Tc1 0.000 0.000 0.500
Tc2 0.000 0.500 0.000
Ga1 0.500 0.626 0.650
Ga2 0.500 0.874 0.150
Ga3 0.500 0.374 0.350
Ga4 0.500 0.126 0.850

---

The following is a GGA-PBE calculation of an optimized crystal structure of TmGa4Tc, from the Alexandria database.

Crystal system: monoclinic
Volume, Å³ per atom: 18.54
ΔE to the lowest computed polymorph, eV per formula unit: 0.000

Unit cell a=5.321 b=6.647 c=7.582 alpha=116.00 beta=110.20 gamma=90.00
Element x y z (fractional)
Ga1 0.000 0.179 0.000
Ga2 0.826 0.321 0.642
Ga3 0.613 0.308 0.221
Ga4 0.613 0.913 0.221
Ga5 0.000 0.821 0.000
Ga6 0.387 0.087 0.779
Ga7 0.387 0.692 0.779
Ga8 0.174 0.679 0.358
Tm1 0.772 0.780 0.560
Tm2 0.228 0.220 0.440
Tc1 0.265 0.500 0.001
Tc2 0.735 0.500 0.999

---

The following is a GGA-PBE calculation of an optimized crystal structure of TmGa8Tc2, from the Alexandria database.

Crystal system: monoclinic
E_tot, eV/atom: -4.649
Volume, Å³ per atom: 19.21

Unit cell a=4.846 b=6.744 c=6.744 alpha=99.33 beta=98.78 gamma=98.78
Element x y z (fractional)
Tc1 0.000 0.720 0.280
Tc2 0.000 0.280 0.720
Ga1 0.897 0.646 0.902
Ga2 0.897 0.902 0.646
Ga3 0.246 0.620 0.620
Ga4 0.500 0.293 0.707
Ga5 0.500 0.707 0.293
Ga6 0.103 0.354 0.098
Ga7 0.754 0.380 0.380
Ga8 0.103 0.098 0.354
Tm1 0.500 0.000 0.000

---

The following is a GGA-PBE calculation of an optimized crystal structure of Tm3Ga4Tc2, from the Alexandria database.

Crystal system: monoclinic
E_tot, eV/atom: -5.563
Volume, Å³ per atom: 20.23

Unit cell a=4.085 b=6.180 c=8.120 alpha=108.60 beta=90.00 gamma=109.30
Element x y z (fractional)
Tc1 0.705 0.410 0.399
Tc2 0.295 0.590 0.601
Tm1 0.617 0.233 0.699
Tm2 0.383 0.767 0.301
Tm3 0.000 0.000 0.000
Ga1 0.932 0.863 0.605
Ga2 0.710 0.419 0.081
Ga3 0.068 0.137 0.395
Ga4 0.290 0.581 0.919

---

The following is a GGA-PBE calculation of an optimized crystal structure of TmGa3Tc, from the Alexandria database.

Crystal system: orthorhombic
E_tot, eV/atom: -4.948
Volume, Å³ per atom: 20.42

Unit cell a=3.555 b=4.740 c=6.058 alpha=90.00 beta=90.00 gamma=90.00
Element x y z (fractional)
Ga1 0.500 0.000 0.705
Ga2 0.500 0.000 0.295
Ga3 0.000 0.500 0.000
Tc1 0.000 0.000 0.000
Tm1 0.000 0.500 0.500

---

The following is a GGA-PBE calculation of an optimized crystal structure of TmGa8Tc4, from the Alexandria database.

Crystal system: tetragonal
E_tot, eV/atom: -5.666
Volume, Å³ per atom: 16.31

Unit cell a=5.232 b=6.882 c=6.882 alpha=81.69 beta=67.66 gamma=67.66
Element x y z (fractional)
Ga1 0.000 0.655 0.345
Ga2 0.711 0.789 0.789
Ga3 0.289 0.211 0.211
Ga4 0.655 0.345 0.345
Ga5 0.000 0.345 0.655
Ga6 0.500 0.789 0.211
Ga7 0.345 0.655 0.655
Ga8 0.500 0.211 0.789
Tc1 0.500 0.500 0.000
Tc2 0.500 0.000 0.500
Tc3 0.000 0.500 0.000
Tc4 0.000 0.000 0.500
Tm1 0.000 0.000 0.000

---

The following is a GGA-PBE calculation of an optimized crystal structure of TmGa6Tc, from the Alexandria database.

Crystal system: trigonal
E_tot, eV/atom: -4.320
Volume, Å³ per atom: 19.58

Unit cell a=5.761 b=5.761 c=5.760 alpha=72.43 beta=72.43 gamma=107.58
Element x y z (fractional)
Tc1 0.000 0.000 0.000
Ga1 0.842 0.280 0.720
Ga2 0.280 0.280 0.158
Ga3 0.158 0.720 0.280
Ga4 0.280 0.842 0.720
Ga5 0.720 0.720 0.842
Ga6 0.720 0.158 0.280
Tm1 0.500 0.500 0.500

---

The following is a GGA-PBE calculation of an optimized crystal structure of TmGa2Tc, from the Alexandria database.

Crystal system: cubic
Volume, Å³ per atom: 17.33
ΔE to the lowest computed polymorph, eV per formula unit: 0.789

Unit cell a=4.611 b=4.611 c=4.611 alpha=60.00 beta=60.00 gamma=60.00
Element x y z (fractional)
Tc1 0.500 0.500 0.500
Tm1 0.000 0.000 0.000
Ga1 0.750 0.750 0.750
Ga2 0.250 0.250 0.250

---

The following is a GGA-PBE calculation of an optimized crystal structure of Tm2Ga5Tc, from the Alexandria database.

Crystal system: tetragonal
E_tot, eV/atom: -4.664
Volume, Å³ per atom: 18.18

Unit cell a=5.767 b=5.767 c=5.767 alpha=101.32 beta=113.70 gamma=113.70
Element x y z (fractional)
Tm1 0.500 0.769 0.269
Tm2 0.500 0.269 0.769
Tc1 0.000 0.872 0.872
Ga1 0.000 0.227 0.227
Ga2 0.578 0.310 0.310
Ga3 0.000 0.732 0.310
Ga4 0.000 0.310 0.732
Ga5 0.422 0.732 0.732

---

The following is a GGA-PBE calculation of an optimized crystal structure of Tm5GaTc2, from the Alexandria database.

Crystal system: tetragonal
E_tot, eV/atom: -5.986
Volume, Å³ per atom: 24.13

Unit cell a=7.303 b=7.303 c=8.891 alpha=114.25 beta=114.25 gamma=90.00
Element x y z (fractional)
Tm1 0.034 0.534 0.718
Tm2 0.966 0.466 0.282
Tm3 0.466 0.316 0.282
Tm4 0.500 0.500 0.000
Tm5 0.184 0.034 0.718
Tm6 0.816 0.966 0.282
Tm7 0.000 0.000 0.000
Tm8 0.684 0.184 0.718
Tm9 0.316 0.816 0.282
Tm10 0.534 0.684 0.718
Ga1 0.750 0.750 0.500
Ga2 0.250 0.250 0.500
Tc1 0.119 0.381 0.000
Tc2 0.619 0.119 0.000
Tc3 0.881 0.619 0.000
Tc4 0.381 0.881 0.000

---

The following is a GGA-PBE calculation of an optimized crystal structure of TmGa7Tc2, from the Alexandria database.

Crystal system: orthorhombic
E_tot, eV/atom: -4.694
Volume, Å³ per atom: 21.91

Unit cell a=4.731 b=6.853 c=6.853 alpha=99.66 beta=90.00 gamma=90.00
Element x y z (fractional)
Tm1 0.000 0.000 0.000
Tc1 0.500 0.737 0.263
Tc2 0.500 0.263 0.737
Ga1 0.000 0.702 0.298
Ga2 0.000 0.298 0.702
Ga3 0.500 0.500 0.500
Ga4 0.500 0.646 0.898
Ga5 0.500 0.354 0.102
Ga6 0.500 0.102 0.354
Ga7 0.500 0.898 0.646

---

The following is a GGA-PBE calculation of an optimized crystal structure of TmGa2Tc, from the Alexandria database.

Crystal system: orthorhombic
Volume, Å³ per atom: 18.11
ΔE to the lowest computed polymorph, eV per formula unit: 0.000

Unit cell a=4.245 b=7.003 c=9.749 alpha=90.00 beta=90.00 gamma=90.00
Element x y z (fractional)
Tc1 0.750 0.960 0.562
Tc2 0.250 0.040 0.438
Tc3 0.250 0.540 0.062
Tc4 0.750 0.460 0.938
Ga1 0.750 0.594 0.672
Ga2 0.250 0.906 0.172
Ga3 0.750 0.307 0.470
Ga4 0.750 0.094 0.828
Ga5 0.750 0.807 0.030
Ga6 0.250 0.406 0.328
Ga7 0.250 0.193 0.970
Ga8 0.250 0.693 0.530
Tm1 0.250 0.304 0.681
Tm2 0.750 0.696 0.319
Tm3 0.750 0.196 0.181
Tm4 0.250 0.804 0.819